## YZrTlRh2 (PBE)

Data for a relaxed structure of YZrTlRh2.

a b c (Å): 4.8145 5.5014 4.8145
angles (deg): 90.00 90.00 90.00
Fractional coordinates of all 5 atoms:
Y (0.5000, 0.5000, 0.5000)
Tl (0.0000, 0.5000, 0.0000)
Rh (0.0000, 0.0000, 0.5000)
Rh (0.5000, 0.0000, 0.0000)
Zr (0.0000, 0.0000, 0.0000)

**V**: 25.50 Å³ per atom
**D(E_F)**: 0.919 states/eV/atom
**Crystal system**: tetragonal
**E_form**: 0.3004 eV per atom